[1]
DFT (PBE) results for a geometry-optimized TaSiAuS2 structure.

Cell lengths 4.6540, 5.3023, 4.6540 Å; angles 90.00, 90.00, 90.00 degrees
Closest atoms and distances in Å follow each position.
Fractional positions:
Si1 0.0000 0.5000 0.0000  2 Ta 2.65
Au1 0.5000 0.5000 0.5000  4 Si 3.29, 8 S 3.53
S1 0.5000 0.0000 0.0000  2 Ta 2.33
S2 0.0000 0.0000 0.5000  2 Ta 2.33
Ta1 0.0000 0.0000 0.0000  4 S 2.33

The calculated density is 6.797 g/cm3. The symmetry is P4/mmm, No. 123. The calculation puts the total energy at -5.461 eV/atom. The total magnetization comes out at 0.00 μB/atom. As for the energy relative to the elements, uncorrected: 0.30 eV per atom. For the density of states at the Fermi level, the calculation gives 0.73 states/eV per atom.

=====

[2]
DFT (PBE) results for a geometry-optimized PrDy4Se5 structure.

Cell lengths 4.1008, 5.8136, 10.9263 Å; angles 105.43, 100.82, 90.00 degrees
Closest atoms and distances in Å follow each position.
Fractional positions:
Se1 0.6062 0.1062 0.2124  4 Dy 2.86-2.91, 2 Pr 3.00
Se2 0.3938 0.8938 0.7876  4 Dy 2.86-2.91, 2 Pr 3.00
Se3 0.8016 0.3016 0.6032  6 Dy 2.89-2.91
Se4 0.1984 0.6984 0.3968  6 Dy 2.89-2.91
Se5 0.0000 0.5000 0.0000  4 Dy 2.90, 2 Pr 2.91
Dy1 0.4010 0.4010 0.8021  6 Se 2.90-2.91
Dy2 0.5990 0.5990 0.1979  6 Se 2.90-2.91
Dy3 0.2030 0.2030 0.4060  6 Se 2.86-2.91
Dy4 0.7970 0.7970 0.5940  6 Se 2.86-2.91
Pr1 0.0000 0.0000 0.0000  6 Se 2.91-3.00

The calculated density is 7.994 g/cm3. For the energy relative to the lowest polymorph listed for this composition, the calculation gives 0.0000 eV/atom. The symmetry is Immm, No. 71. The calculation puts the total energy at -5.819 eV/atom. The total magnetization comes out at 0.00 μB/atom. As for the energy relative to the elements, uncorrected: -1.76 eV per atom. For the density of states at the Fermi level, the calculation gives 0.50 states/eV per atom.

=====

[3]
DFT (PBE) results for a geometry-optimized YMg2W structure.

Cell lengths 5.1278, 2.9013, 5.7648 Å; angles 81.84, 90.00, 90.00 degrees
Closest atoms and distances in Å follow each position.
Fractional positions:
Y1 0.5000 0.7500 0.7500  2 Y 2.90, 2 W 3.04, 4 Mg 3.19
W1 0.5000 0.2500 0.2500  2 W 2.90, 4 Mg 2.97, 2 Y 3.04
Mg1 0.0000 0.0364 0.0275  4 Mg 2.85-3.00, 2 W 2.97, 2 Y 3.19
Mg2 0.0000 0.4636 0.4725  4 Mg 2.85-3.00, 2 W 2.97, 2 Y 3.19

The calculated density is 6.286 g/cm3. For the energy relative to the lowest polymorph listed for this composition, the calculation gives 0.0921 eV/atom. The symmetry is P2/m, No. 10. The calculation puts the total energy at -5.214 eV/atom. The total magnetization comes out at 0.00 μB/atom. For the density of states at the Fermi level, the calculation gives 1.14 states/eV per atom. Its energy of formation is 438 meV/atom.

=====

[4]
DFT (PBE) results for a geometry-optimized CeCuGe2 structure.

Cell lengths 2.9923, 2.9923, 10.1196 Å; angles 81.50, 81.50, 60.00 degrees
Closest atoms and distances in Å follow each position.
Fractional positions:
Cu1 0.5000 0.5000 0.5000  6 Ge 2.60
Ce1 0.0000 0.0000 0.0000  6 Ce 2.99, 2 Ge 3.04
Ge1 0.1017 0.1017 0.6948  3 Cu 2.60
Ge2 0.8983 0.8983 0.3052  3 Cu 2.60

The calculated density is 7.494 g/cm3. The symmetry is R-3m, No. 166. The calculation puts the total energy at -4.650 eV/atom. The total magnetization comes out at 0.00 μB/atom. For the density of states at the Fermi level, the calculation gives 1.21 states/eV per atom. Its energy of formation is 166 meV/atom.

=====

[5]
DFT (PBE) results for a geometry-optimized LaPtI2O structure.

Cell lengths 6.3986, 6.3986, 4.2264 Å; angles 90.00, 90.00, 90.00 degrees
Closest atoms and distances in Å follow each position.
Fractional positions:
Pt1 0.5000 0.5000 0.5000  8 I 3.83, 2 Pt 4.23
I1 0.0000 0.5000 0.0000  2 La 3.20
I2 0.5000 0.0000 0.0000  2 La 3.20
O1 0.0000 0.0000 0.5000  2 La 2.11
La1 0.0000 0.0000 0.0000  2 O 2.11

The calculated density is 5.794 g/cm3. For the energy relative to the lowest polymorph listed for this composition, the calculation gives 0.0000 eV/atom. The symmetry is P4/mmm, No. 123. The calculation puts the total energy at -4.360 eV/atom. The total magnetization comes out at 0.17 μB/atom. As for the energy relative to the elements, uncorrected: -0.55 eV per atom. For the density of states at the Fermi level, the calculation gives 1.08 states/eV per atom.

=====

[6]
DFT (PBE) results for a geometry-optimized NdBiPb structure.

Cell lengths 4.6406, 4.6406, 8.9916 Å; angles 90.00, 90.00, 90.00 degrees
Closest atoms and distances in Å follow each position.
Fractional positions:
Nd1 0.3355 0.8355 0.1831  5 Bi 3.25-3.28
Nd2 0.8355 0.3355 0.8169  5 Bi 3.25-3.28
Pb1 0.8385 0.8385 0.5000  4 Pb 3.28, 2 Nd 3.67
Pb2 0.3385 0.3385 0.5000  4 Pb 3.28, 2 Nd 3.67
Bi1 0.3354 0.8354 0.8218  5 Nd 3.25-3.28
Bi2 0.8354 0.3354 0.1782  5 Nd 3.25-3.28

The calculated density is 9.612 g/cm3. For the energy relative to the lowest polymorph listed for this composition, the calculation gives 0.0248 eV/atom. The symmetry is Aem2, No. 39. The calculation puts the total energy at -4.649 eV/atom. The total magnetization comes out at 0.00 μB/atom. For the density of states at the Fermi level, the calculation gives 0.62 states/eV per atom. Its energy of formation is -530 meV/atom.

=====

[7]
DFT (PBE) results for a geometry-optimized Dy3ScAs4 structure.

Cell lengths 4.0668, 7.0351, 7.0351 Å; angles 109.48, 90.00, 90.00 degrees
Closest atoms and distances in Å follow each position.
Fractional positions:
Dy1 0.0000 0.5000 0.0000  6 As 2.87
Dy2 0.0000 0.0000 0.5000  6 As 2.87
Dy3 0.5000 0.5000 0.5000  6 As 2.93
As1 0.5000 0.2452 0.7548  1 Sc 2.82, 5 Dy 2.87-2.93
As2 0.0000 0.7595 0.7595  2 Sc 2.82, 4 Dy 2.87-2.93
As3 0.0000 0.2405 0.2405  2 Sc 2.82, 4 Dy 2.87-2.93
As4 0.5000 0.7548 0.2452  1 Sc 2.82, 5 Dy 2.87-2.93
Sc1 0.5000 0.0000 0.0000  6 As 2.82

The calculated density is 7.282 g/cm3. For the energy relative to the lowest polymorph listed for this composition, the calculation gives 0.0000 eV/atom. The symmetry is Cmmm, No. 65. The calculation puts the total energy at -6.323 eV/atom. The total magnetization comes out at 0.00 μB/atom. For the density of states at the Fermi level, the calculation gives 0.12 states/eV per atom. Its energy of formation is -1481 meV/atom.

=====

[8]
DFT (PBE) results for a geometry-optimized ScOsRu4 structure.

Cell lengths 5.0868, 5.0868, 5.0868 Å; angles 60.00, 60.00, 60.00 degrees
Closest atoms and distances in Å follow each position.
Fractional positions:
Sc1 0.7500 0.7500 0.7500  12 Ru 2.98, 4 Os 3.12
Os1 0.0000 0.0000 0.0000  12 Ru 2.98, 4 Sc 3.12
Ru1 0.3750 0.3750 0.8750  6 Ru 2.54
Ru2 0.8750 0.3750 0.3750  6 Ru 2.54
Ru3 0.3750 0.3750 0.3750  6 Ru 2.54
Ru4 0.3750 0.8750 0.3750  6 Ru 2.54

The calculated density is 11.409 g/cm3. The symmetry is F-43m, No. 216. The calculation puts the total energy at -8.898 eV/atom. The total magnetization comes out at 0.00 μB/atom. For the density of states at the Fermi level, the calculation gives 0.99 states/eV per atom. Its energy of formation is 213 meV/atom.

=====

[9]
DFT (PBE) results for a geometry-optimized IrS2 structure.

Cell lengths 4.9141, 6.0271, 6.0272 Å; angles 60.00, 90.00, 90.00 degrees
Closest atoms and distances in Å follow each position.
Fractional positions:
S1 0.2323 0.3548 0.6452  3 Ir 2.35-2.42
S2 0.7677 0.0000 0.6452  3 Ir 2.35-2.42
S3 0.7677 0.3548 0.0000  3 Ir 2.35-2.42
S4 0.2323 0.6452 0.0000  3 Ir 2.35-2.42
S5 0.2323 0.0000 0.3548  3 Ir 2.35-2.42
S6 0.7677 0.6452 0.3548  3 Ir 2.35-2.42
Ir1 0.5000 0.6667 0.6667  6 S 2.35
Ir2 0.5000 0.3333 0.3333  6 S 2.35
Ir3 0.0000 0.0000 0.0000  6 S 2.42

The calculated density is 8.261 g/cm3. The symmetry is P-31m, No. 162. The calculation puts the total energy at -5.927 eV/atom. The total magnetization comes out at 0.00 μB/atom. As for the energy relative to the elements, uncorrected: -0.22 eV per atom. For the density of states at the Fermi level, the calculation gives 0.82 states/eV per atom.

=====

[10]
DFT (PBE) results for a geometry-optimized MnReAs2 structure.

Cell lengths 10.1986, 10.1986, 10.1986 Å; angles 16.25, 16.25, 16.25 degrees
Closest atoms and distances in Å follow each position.
Fractional positions:
Re1 0.7590 0.7590 0.7590  3 As 2.60, 3 Mn 2.63, 6 Re 2.88
As1 0.0261 0.0261 0.0261  3 Re 2.60, 6 As 2.88
As2 0.2215 0.2215 0.2215  3 Mn 2.49
Mn1 0.4934 0.4934 0.4934  3 As 2.49, 3 Re 2.63

The calculated density is 8.961 g/cm3. For the energy relative to the lowest polymorph listed for this composition, the calculation gives 0.0760 eV/atom. The symmetry is R3m, No. 160. The calculation puts the total energy at -7.597 eV/atom. The total magnetization comes out at 0.45 μB/atom. For the density of states at the Fermi level, the calculation gives 0.58 states/eV per atom. Its energy of formation is 132 meV/atom.

=====

[11]
DFT (PBE) results for a geometry-optimized TbThPdRh structure.

Cell lengths 5.0236, 5.0236, 5.0236 Å; angles 60.00, 60.00, 60.00 degrees
Closest atoms and distances in Å follow each position.
Fractional positions:
Tb1 0.2500 0.2500 0.2500  4 Rh 3.08, 4 Pd 3.08
Th1 0.7500 0.7500 0.7500  4 Rh 3.08, 4 Pd 3.08
Pd1 0.0000 0.0000 0.0000  4 Tb 3.08, 4 Th 3.08
Rh1 0.5000 0.5000 0.5000  4 Th 3.08, 4 Tb 3.08

The calculated density is 11.120 g/cm3. For the energy relative to the lowest polymorph listed for this composition, the calculation gives 0.1499 eV/atom. The symmetry is F-43m, No. 216. The calculation puts the total energy at -6.909 eV/atom. The total magnetization comes out at 0.00 μB/atom. For the density of states at the Fermi level, the calculation gives 1.31 states/eV per atom. Its energy of formation is -761 meV/atom.